(1)
The following is a DFT calculation (GGA-PBE) of a relaxed structure of Tb12Y5Th2.

Output
Polymorph energy (0 for the lowest one) = 122 meV per atom
Uncorrected energy = -5.26 eV/atom
Fermi-level density of states = 29.1 states/eV per cell
Formation enthalpy at 0 K = 2.78 eV/f.u.

Cell: 9.3067 12.2993 8.6512 Å, 132.35 90.00 112.23°
Atoms (fractional coordinates):
Tb: 0.6731 0.7042 0.9459
Tb: 0.1745 0.7376 0.4151
Tb: 0.0310 0.7042 0.9459
Tb: 0.4369 0.2624 0.5849
Tb: 0.0726 0.1453 0.2683
Tb: 0.5631 0.7376 0.4151
Tb: 0.4430 0.8861 0.2217
Tb: 0.3269 0.2958 0.0541
Tb: 0.9274 0.8547 0.7317
Tb: 0.5570 0.1139 0.7783
Tb: 0.8255 0.2624 0.5849
Tb: 0.9690 0.2958 0.0541
Y: 0.7667 0.5334 0.1019
Y: 0.2941 0.5883 0.6202
Y: 0.7059 0.4117 0.3798
Y: 0.0000 0.0000 0.5000
Y: 0.2333 0.4666 0.8981
Th: 0.3300 0.0000 0.0000
Th: 0.6700 0.0000 0.0000



(2)
The following is a DFT calculation (GGA-PBE) of a relaxed structure of PmYGePt.

Output
Polymorph energy (0 for the lowest one) = 0 meV per atom
Uncorrected energy = -6.51 eV/atom
Fermi-level density of states = 2.4 states/eV per cell
Formation enthalpy at 0 K = -4.17 eV/f.u.

Cell: 4.0136 4.2974 5.8668 Å, 90.00 110.00 90.00°
Atoms (fractional coordinates):
Ge: 0.5782 0.5000 0.1564
Pt: 0.4159 0.0000 0.8318
Pm: 0.1418 0.0000 0.2837
Y: 0.8641 0.5000 0.7281